## Tb2Sm5Tm3 (PBE)

Data for an optimized crystal structure of Tb2Sm5Tm3.

abc: 9.4286 9.4286 9.6325
angles: 108.62 108.62 110.31
Sites, in units of the cell vectors:
1 Tb 0.0193 0.2829 0.0498
2 Tb 0.2829 0.0193 0.5498
3 Tb 0.7171 0.9807 0.4502
4 Tb 0.9807 0.7171 0.9502
5 Sm 0.0163 0.9837 0.7500
6 Sm 0.1092 0.3904 0.7480
7 Sm 0.2175 0.7825 0.7500
8 Sm 0.3904 0.1092 0.2480
9 Sm 0.4818 0.5182 0.2500
10 Sm 0.5182 0.4818 0.7500
11 Sm 0.6096 0.8908 0.7520
12 Sm 0.7825 0.2175 0.2500
13 Sm 0.8908 0.6096 0.2520
14 Sm 0.9837 0.0163 0.2500
15 Tm 0.2212 0.4838 0.4518
16 Tm 0.2806 0.7194 0.2500
17 Tm 0.4838 0.2212 0.9518
18 Tm 0.5162 0.7788 0.0482
19 Tm 0.7194 0.2806 0.7500
20 Tm 0.7788 0.5162 0.5482

***

## MgPAu2 (PBE)

Data for an optimized crystal structure of MgPAu2.

abc: 4.6619 4.6619 4.6619
angles: 60.00 60.00 60.00
Sites, in units of the cell vectors:
1 Mg 0.0000 0.0000 0.0000
2 P 0.7500 0.7500 0.7500
3 Au 0.2500 0.2500 0.2500
4 Au 0.5000 0.5000 0.5000

***

Formation energy list, top to bottom, in eV per formula unit: 1.94 -0.06
ΔE to the lowest computed polymorph list, top to bottom, in meV per atom: 0 145